Entry from Alexandria: Na16Hg12Au after structural relaxation (PBE-GGA).

Calculated values
DFT total energy in eV/atom: -1.176
N(E_F) in states/eV/atom: 0.42
SG: Cm (8)

a b c (Å): 9.8815 9.8815 10.1130
angles (deg): 109.16 109.16 108.20
Closest atoms and distances in Å follow each position.
Fractional coordinates of all 29 atoms:
1 Na 0.6446 0.9962 0.0007  4 Na 3.31-3.49, 7 Hg 3.39-3.65
2 Na 0.0077 0.0077 0.0198  4 Na 3.42-3.64, 12 Hg 3.42-3.79
3 Na 0.2876 0.2876 0.7001  5 Hg 3.23-3.36, 7 Na 3.37-3.48
4 Na 0.6960 0.0011 0.4127  1 Au 3.05, 4 Hg 3.13-3.41, 2 Na 3.24-3.36
5 Na 0.7141 0.3303 0.3067  5 Hg 3.14-3.43, 4 Na 3.27-3.48, 1 Au 3.41
6 Na 0.0011 0.6960 0.4127  1 Au 3.05, 4 Hg 3.13-3.41, 2 Na 3.24-3.36
7 Na 0.6624 0.4298 0.0228  4 Hg 3.11-3.44, 2 Na 3.27-3.44, 1 Au 3.31
8 Na 0.4022 0.9904 0.6795  5 Hg 3.18-3.36, 6 Na 3.31-3.56
9 Na 0.3829 0.3829 0.3120  1 Au 3.09, 2 Hg 3.25, 2 Na 3.44
10 Na 0.9904 0.4022 0.6795  5 Hg 3.18-3.36, 6 Na 3.31-3.56
11 Na 0.3303 0.7141 0.3067  5 Hg 3.14-3.43, 4 Na 3.27-3.48, 1 Au 3.41
12 Na 0.4298 0.6624 0.0228  4 Hg 3.11-3.44, 2 Na 3.27-3.44, 1 Au 3.31
13 Na 0.9807 0.9807 0.6657  4 Na 3.24-3.42, 1 Au 3.26, 6 Hg 3.27-3.50
14 Na 0.2802 0.5762 0.5838  5 Hg 3.15-3.41, 4 Na 3.43-3.50
15 Na 0.5762 0.2802 0.5838  5 Hg 3.15-3.41, 4 Na 3.43-3.50
16 Na 0.9962 0.6446 0.0007  4 Na 3.31-3.49, 7 Hg 3.39-3.65
17 Hg 0.6235 0.6235 0.8209  3 Hg 3.05-3.12, 5 Na 3.23-3.36
18 Hg 0.1636 0.3509 0.9721  3 Hg 3.00-3.11, 5 Na 3.11-3.32
19 Hg 0.6201 0.8175 0.6319  3 Hg 3.03-3.16, 1 Au 3.04, 4 Na 3.14-3.27
20 Hg 0.1857 0.7868 0.8099  3 Hg 3.03-3.20, 3 Na 3.15-3.36
21 Hg 0.3509 0.1636 0.9721  3 Hg 3.00-3.11, 5 Na 3.11-3.32
22 Hg 0.0004 0.1984 0.3657  3 Hg 2.98-3.17, 4 Na 3.20-3.31
23 Hg 0.0017 0.3889 0.1900  3 Hg 2.98-3.20, 2 Na 3.13-3.28
24 Hg 0.1984 0.0004 0.3657  3 Hg 2.98-3.17, 4 Na 3.20-3.31
25 Hg 0.8175 0.6201 0.6319  3 Hg 3.03-3.16, 1 Au 3.04, 4 Na 3.14-3.27
26 Hg 0.3889 0.0017 0.1900  3 Hg 2.98-3.20, 2 Na 3.13-3.28
27 Hg 0.8150 0.8150 0.1845  1 Au 2.97, 3 Hg 3.05-3.16, 4 Na 3.19-3.23
28 Hg 0.7868 0.1857 0.8099  3 Hg 3.03-3.20, 3 Na 3.15-3.36
29 Au 0.6652 0.6652 0.3453  3 Hg 2.97-3.04, 6 Na 3.05-3.31